1.
First-principles (PBE-GGA) data for a geometry-optimized Co2RhBr structure, as listed in Alexandria via LeMat-Bulk.

```
Co2RhBr
1.0
3.022 0.000 0.000
0.000 3.022 0.000
0.000 0.000 6.615
Co Rh Br
2 1 1
Direct
0.000 0.000 0.224
0.000 0.000 0.776
0.500 0.500 0.000
0.500 0.500 0.500
```

formation energy without anion corrections: 0.535 eV/atom
energy above the lowest structure with this stoichiometry: 110 meV per atom
M_tot: 1.317 μB per atom

***

2.
First-principles (PBE-GGA) data for a geometry-optimized K2Tl5Pd3 structure, as listed in Alexandria via LeMat-Bulk.

```
K2Tl5Pd3
1.0
-5.104 8.056 3.431
5.104 -8.056 3.431
5.104 8.056 -3.431
K Tl Pd
4 10 6
Direct
0.119 0.243 0.362
0.381 0.743 0.124
0.619 0.257 0.876
0.881 0.757 0.638
0.005 0.750 0.255
0.106 0.865 0.971
0.250 0.750 0.500
0.394 0.365 0.760
0.495 0.750 0.745
0.505 0.250 0.255
0.606 0.635 0.240
0.750 0.250 0.500
0.894 0.135 0.029
0.995 0.250 0.745
0.123 0.599 0.722
0.250 0.250 0.000
0.377 0.099 0.475
0.623 0.901 0.525
0.750 0.750 0.000
0.877 0.401 0.278
```

energy of formation from the pure elements: -0.142 eV per atom
M_tot: 0.000 μB per atom

***

3.
First-principles (PBE-GGA) data for a geometry-optimized LiTa4ZnN8 structure, as listed in Alexandria via LeMat-Bulk.

```
LiTa4ZnN8
1.0
3.131 1.807 4.962
-3.131 1.807 4.962
0.000 -3.615 4.962
Li Ta Zn N
1 4 1 8
Direct
0.000 0.000 0.000
0.003 0.003 0.486
0.003 0.486 0.003
0.486 0.003 0.003
0.620 0.620 0.620
0.378 0.378 0.378
0.237 0.750 0.750
0.243 0.243 0.243
0.255 0.255 0.779
0.255 0.779 0.255
0.750 0.237 0.750
0.750 0.750 0.237
0.757 0.757 0.757
0.779 0.255 0.255
```

formation energy without anion corrections: -0.712 eV/atom
M_tot: 0.000 μB per atom

***

Q: Which V values were calculated for the entries above? A: 60.4, 564.3, 168.5, in Å³/cell.